Computed, not measured: crystalline K2SeIO6 at its relaxed geometry at the PBE level of DFT.

a = 5.7446 Å, b = 5.7446 Å, c = 5.7540 Å
α = 59.99°, β = 59.99°, γ = 90.03°
Last column: nearest neighbours and their distance in Å.
Sites, in units of the cell vectors:
K1 0.2499 0.7501 0.5000  12 O 2.87-2.88
K2 0.7501 0.2499 0.5000  12 O 2.87-2.88
O1 0.2488 0.7513 0.0000  1 I 2.02, 1 Se 2.04
O2 0.7512 0.2487 0.0000  1 I 2.02, 1 Se 2.04
O3 0.7516 0.7515 0.9988  1 I 2.02, 1 Se 2.04
O4 0.2481 0.2481 0.5040  1 I 2.02, 1 Se 2.05
O5 0.2484 0.2485 0.0012  1 I 2.02, 1 Se 2.04
O6 0.7519 0.7519 0.4960  1 I 2.02, 1 Se 2.05
Se1 0.5000 0.5000 0.0000  6 O 2.04-2.05
I1 0.0000 0.0000 0.0000  6 O 2.02

Properties
The value obtained for the calculated total energy is -4.45 eV/atom. The formation energy (no corrections) comes out at -0.748 eV/atom.


Computed, not measured: crystalline KSiI2O at its relaxed geometry at the PBE level of DFT.

a = 6.0189 Å, b = 6.0189 Å, c = 3.6374 Å
α = 90.00°, β = 90.00°, γ = 90.00°
Last column: nearest neighbours and their distance in Å.
Sites, in units of the cell vectors:
Si1 0.0000 0.0000 0.0000  2 O 1.82
O1 0.0000 0.0000 0.5000  2 Si 1.82
K1 0.5000 0.5000 0.5000  8 I 3.52, 2 K 3.64
I1 0.5000 0.0000 0.0000  2 Si 3.01
I2 0.0000 0.5000 0.0000  2 Si 3.01

Properties
The value obtained for the energy above the most stable polymorph in this dataset is 0.000 eV/atom. The value obtained for the calculated total energy is -3.80 eV/atom. The formation energy (no corrections) comes out at -0.886 eV/atom.


Computed, not measured: crystalline KSiIO2 at its relaxed geometry at the PBE level of DFT.

a = 3.9915 Å, b = 3.9915 Å, c = 5.5055 Å
α = 90.00°, β = 90.00°, γ = 90.00°
Last column: nearest neighbours and their distance in Å.
Sites, in units of the cell vectors:
O1 0.5000 0.0000 0.0000  2 Si 2.00
O2 0.0000 0.5000 0.0000  2 Si 2.00
I1 0.0000 0.0000 0.5000  2 Si 2.75, 4 K 2.82
K1 0.5000 0.5000 0.5000  4 I 2.82
Si1 0.0000 0.0000 0.0000  4 O 2.00

Properties
The value obtained for the energy above the most stable polymorph in this dataset is 0.000 eV/atom. The value obtained for the calculated total energy is -4.31 eV/atom. The formation energy (no corrections) comes out at -0.717 eV/atom.


Computed, not measured: crystalline KSiI2O at its relaxed geometry at the PBE level of DFT.

a = 6.2325 Å, b = 6.2325 Å, c = 4.2968 Å
α = 90.00°, β = 90.00°, γ = 90.00°
Last column: nearest neighbours and their distance in Å.
Sites, in units of the cell vectors:
I1 0.5000 0.0000 0.0000  2 K 3.12
I2 0.0000 0.5000 0.0000  2 K 3.12
O1 0.0000 0.0000 0.5000  2 K 2.15
Si1 0.5000 0.5000 0.5000  8 I 3.79
K1 0.0000 0.0000 0.0000  2 O 2.15

Properties
The value obtained for the energy above the most stable polymorph in this dataset is 1.540 eV/atom. The value obtained for the calculated total energy is -2.26 eV/atom. The formation energy (no corrections) comes out at 0.654 eV/atom.


Computed, not measured: crystalline KSiIO2 at its relaxed geometry at the PBE level of DFT.

a = 4.6533 Å, b = 4.6533 Å, c = 6.5479 Å
α = 90.00°, β = 90.00°, γ = 90.00°
Last column: nearest neighbours and their distance in Å.
Sites, in units of the cell vectors:
I1 0.0000 0.0000 0.5000  2 K 3.27, 4 Si 3.29
K1 0.0000 0.0000 0.0000  4 O 2.33
Si1 0.5000 0.5000 0.5000  4 I 3.29
O1 0.5000 0.0000 0.0000  2 K 2.33
O2 0.0000 0.5000 0.0000  2 K 2.33

Properties
The value obtained for the energy above the most stable polymorph in this dataset is 1.515 eV/atom. The value obtained for the calculated total energy is -2.80 eV/atom. The formation energy (no corrections) comes out at 0.798 eV/atom.


Computed, not measured: crystalline KSmIO6 at its relaxed geometry at the PBE level of DFT.

a = 5.8313 Å, b = 5.8313 Å, c = 5.6976 Å
α = 90.01°, β = 89.99°, γ = 60.00°
Last column: nearest neighbours and their distance in Å.
Sites, in units of the cell vectors:
O1 0.0559 0.5905 0.6901  1 I 1.90
O2 0.3535 0.0560 0.6901  1 I 1.90
O3 0.5904 0.3536 0.6902  1 I 1.90
O4 0.5905 0.0559 0.3099  1 I 1.90
O5 0.3536 0.5904 0.3098  1 I 1.90
O6 0.0560 0.3535 0.3098  1 I 1.90
I1 0.3333 0.3333 0.5000  6 O 1.90
K1 0.0000 0.0000 0.0000  6 O 2.85
Sm1 0.6666 0.6667 0.5000  6 O 2.35

Properties
The value obtained for the calculated total energy is -5.47 eV/atom. The formation energy (no corrections) comes out at -1.350 eV/atom.


Computed, not measured: crystalline K2SmIO6 at its relaxed geometry at the PBE level of DFT.

a = 5.9580 Å, b = 5.9580 Å, c = 5.9580 Å
α = 60.00°, β = 60.00°, γ = 60.00°
Last column: nearest neighbours and their distance in Å.
Sites, in units of the cell vectors:
O1 0.5423 0.0914 0.2777  1 I 1.91
O2 0.0914 0.0886 0.2777  1 I 1.91
O3 0.0900 0.5410 0.8254  1 I 1.91
O4 0.5409 0.5437 0.8254  1 I 1.91
O5 0.5437 0.0900 0.8254  1 I 1.91
O6 0.0886 0.5423 0.2777  1 I 1.91
K1 0.5662 0.5662 0.3014  12 O 2.98-2.99
K2 0.0662 0.0662 0.8015  12 O 2.98-2.99
I1 0.3162 0.3162 0.0515  6 O 1.91
Sm1 0.8162 0.8162 0.5515  6 O 2.31

Properties
The value obtained for the calculated total energy is -5.49 eV/atom. The formation energy (no corrections) comes out at -1.673 eV/atom.


Computed, not measured: crystalline KSnIO2 at its relaxed geometry at the PBE level of DFT.

a = 4.2893 Å, b = 4.2893 Å, c = 6.1014 Å
α = 90.00°, β = 90.00°, γ = 90.00°
Last column: nearest neighbours and their distance in Å.
Sites, in units of the cell vectors:
O1 0.0000 0.5000 0.0000  2 Sn 2.14
O2 0.5000 0.0000 0.0000  2 Sn 2.14
K1 0.5000 0.5000 0.5000  4 I 3.03
Sn1 0.0000 0.0000 0.0000  4 O 2.14
I1 0.0000 0.0000 0.5000  4 K 3.03, 2 Sn 3.05

Properties
The value obtained for the energy above the most stable polymorph in this dataset is 0.000 eV/atom. The value obtained for the calculated total energy is -4.20 eV/atom. The formation energy (no corrections) comes out at -0.882 eV/atom.


Computed, not measured: crystalline KSnIO2 at its relaxed geometry at the PBE level of DFT.

a = 4.7999 Å, b = 4.7999 Å, c = 6.2829 Å
α = 90.00°, β = 90.00°, γ = 90.00°
Last column: nearest neighbours and their distance in Å.
Sites, in units of the cell vectors:
K1 0.0000 0.0000 0.0000  4 O 2.40
Sn1 0.5000 0.5000 0.5000  4 I 3.39
O1 0.5000 0.0000 0.0000  2 K 2.40
O2 0.0000 0.5000 0.0000  2 K 2.40
I1 0.0000 0.0000 0.5000  2 K 3.14, 4 Sn 3.39

Properties
The value obtained for the energy above the most stable polymorph in this dataset is 1.287 eV/atom. The value obtained for the calculated total energy is -2.91 eV/atom. The formation energy (no corrections) comes out at 0.405 eV/atom.


Computed, not measured: crystalline KSr2IO6 at its relaxed geometry at the PBE level of DFT.

a = 5.9945 Å, b = 5.9945 Å, c = 5.9945 Å
α = 62.58°, β = 62.58°, γ = 62.58°
Last column: nearest neighbours and their distance in Å.
Sites, in units of the cell vectors:
O1 0.6870 0.8975 0.1821  1 I 1.91
O2 0.8975 0.1821 0.6870  1 I 1.91
O3 0.1821 0.6870 0.8975  1 I 1.91
O4 0.1026 0.8180 0.3131  1 I 1.91
O5 0.8180 0.3131 0.1026  1 I 1.91
O6 0.3131 0.1026 0.8180  1 I 1.91
Sr1 0.2337 0.2337 0.2337  6 O 2.51-2.72
Sr2 0.7664 0.7664 0.7664  6 O 2.51-2.72
I1 0.0000 0.0000 0.0000  6 O 1.91
K1 0.5000 0.5000 0.5000  6 O 2.62

Properties
The value obtained for the calculated total energy is -5.32 eV/atom. The formation energy (no corrections) comes out at -1.742 eV/atom.


Computed, not measured: crystalline K2SrIO6 at its relaxed geometry at the PBE level of DFT.

a = 6.1455 Å, b = 6.1448 Å, c = 6.1455 Å
α = 60.01°, β = 59.99°, γ = 90.00°
Last column: nearest neighbours and their distance in Å.
Sites, in units of the cell vectors:
Sr1 0.0000 0.0000 0.0000  6 O 2.45
I1 0.5000 0.5000 0.0000  6 O 1.89
O1 0.7180 0.7179 0.5642  1 I 1.89
O2 0.2820 0.2821 0.0000  1 I 1.89
O3 0.2820 0.2821 0.4358  1 I 1.89
O4 0.7180 0.7179 0.0000  1 I 1.89
O5 0.2821 0.7180 0.0001  1 I 1.89
O6 0.7179 0.2820 0.9999  1 I 1.89
K1 0.7501 0.2500 0.5002  12 O 3.08-3.09
K2 0.2499 0.7500 0.4998  12 O 3.08-3.09

Properties
The value obtained for the calculated total energy is -4.88 eV/atom. The formation energy (no corrections) comes out at -1.360 eV/atom.


Computed, not measured: crystalline K3Sr3IO8 at its relaxed geometry at the PBE level of DFT.

a = 7.3037 Å, b = 7.3037 Å, c = 7.5658 Å
α = 118.86°, β = 90.00°, γ = 120.00°
Last column: nearest neighbours and their distance in Å.
Sites, in units of the cell vectors:
O1 0.8058 0.9900 0.6742  1 I 1.93
O2 0.8158 0.6316 0.3258  1 I 1.93
O3 0.2684 0.5368 0.3053  3 Sr 2.44
O4 0.1842 0.9900 0.6742  1 I 1.93
O5 0.1942 0.0100 0.3258  1 I 1.93
O6 0.8158 0.0100 0.3258  1 I 1.93
O7 0.7316 0.4632 0.6947  3 Sr 2.44
O8 0.1842 0.3684 0.6742  1 I 1.93
K1 0.5000 0.5000 0.0000  6 O 2.80-2.85
K2 0.0000 0.0000 0.0000  6 O 2.80-2.85
K3 0.0000 0.5000 0.0000  6 O 2.80-2.85
I1 0.0000 0.0000 0.5000  6 O 1.93
Sr1 0.5000 0.0000 0.5000  6 O 2.44-2.64
Sr2 0.5000 0.5000 0.5000  6 O 2.44-2.64
Sr3 0.0000 0.5000 0.5000  6 O 2.44-2.64

Properties
The value obtained for the calculated total energy is -5.07 eV/atom. The formation energy (no corrections) comes out at -1.771 eV/atom.


> What is the formula in the third record?

KSiIO2


> Which value of formation energy (no corrections) does entry 12 give?

-1.771 eV/atom


> What is the formation energy (no corrections) in the seventh record?

-1.673 eV/atom